# 1
# Pr4Hg2Ir (PBE, relaxed)
data_Pr4Hg2Ir
_space_group_name_H-M_alt 'I 4/m m m'
_space_group_IT_number 139
_space_group_name_Hall '-I 4 2'
_cell_length_a 5.568
_cell_length_b 5.568
_cell_length_c 15.383
_cell_angle_alpha 90.00
_cell_angle_beta 90.00
_cell_angle_gamma 90.00
loop_
_atom_site_label
_atom_site_fract_x
_atom_site_fract_y
_atom_site_fract_z
_atom_site_occupancy
Pr1 0.000 0.000 0.186 1
Pr2 0.000 0.500 0.000 1
Hg1 0.000 0.000 0.385 1
Ir1 0.000 0.000 0.000 1
# E_form: -0.2964 eV/atom
# Fermi-level density of states: 7.07 states/eV/f.u.
# spin magnetization: 0.0 μB/f.u.
# energy above the most stable polymorph in this dataset: 0.170 eV per atom


# 2
# Sm2DyO (PBE, relaxed)
data_Sm2DyO
_space_group_name_H-M_alt 'P 4/m m m'
_space_group_IT_number 123
_space_group_name_Hall '-P 4 2'
_cell_length_a 3.231
_cell_length_b 3.231
_cell_length_c 8.939
_cell_angle_alpha 90.00
_cell_angle_beta 90.00
_cell_angle_gamma 90.00
loop_
_atom_site_label
_atom_site_fract_x
_atom_site_fract_y
_atom_site_fract_z
_atom_site_occupancy
Sm1 0.000 0.000 0.173 1
Dy1 0.500 0.500 0.500 1
O1 0.500 0.500 0.000 1
# Fermi-level density of states: 5.10 states/eV/f.u.
# spin magnetization: 0.0 μB/f.u.
# formation energy without anion corrections: -817 meV per atom
# energy above the most stable polymorph in this dataset: 0.330 eV per atom


# 3
# PmPd7Au2 (PBE, relaxed)
data_PmPd7Au2
_space_group_name_H-M_alt 'C m m m'
_space_group_IT_number 65
_space_group_name_Hall '-C 2 2'
_cell_length_a 7.250
_cell_length_b 13.385
_cell_length_c 4.574
_cell_angle_alpha 90.00
_cell_angle_beta 90.00
_cell_angle_gamma 90.00
loop_
_atom_site_label
_atom_site_fract_x
_atom_site_fract_y
_atom_site_fract_z
_atom_site_occupancy
Pm1 0.000 0.000 0.000 1
Pd1 0.000 0.201 0.000 1
Pd2 0.000 0.500 0.500 1
Pd3 0.181 0.108 0.500 1
Au1 0.000 0.299 0.500 1
# E_form: 0.1106 eV/atom
# Fermi-level density of states: 12.16 states/eV/f.u.
# spin magnetization: 0.0 μB/f.u.


# 4
# CeCdNi (PBE, relaxed)
data_CeCdNi
_space_group_name_H-M_alt 'F -4 3 m'
_space_group_IT_number 216
_space_group_name_Hall 'F -4 2 3'
_cell_length_a 6.538
_cell_length_b 6.538
_cell_length_c 6.538
_cell_angle_alpha 90.00
_cell_angle_beta 90.00
_cell_angle_gamma 90.00
loop_
_atom_site_label
_atom_site_fract_x
_atom_site_fract_y
_atom_site_fract_z
_atom_site_occupancy
Ce1 0.000 0.000 0.000 1
Cd1 0.000 0.000 0.500 1
Ni1 0.250 0.250 0.250 1
# E_form: -0.1613 eV/atom
# Fermi-level density of states: 6.18 states/eV/f.u.
# spin magnetization: 0.9 μB/f.u.


# 5
# KLi2Rh (PBE, relaxed)
data_KLi2Rh
_space_group_name_H-M_alt 'P m m 2'
_space_group_IT_number 25
_cell_length_a 2.788
_cell_length_b 4.191
_cell_length_c 7.980
_cell_angle_alpha 90.00
_cell_angle_beta 90.00
_cell_angle_gamma 90.00
loop_
_space_group_symop_operation_xyz
'x,y,z'
'-x,-y,z'
'-x,y,z'
'x,-y,z'
loop_
_atom_site_label
_atom_site_fract_x
_atom_site_fract_y
_atom_site_fract_z
_atom_site_occupancy
K1 0.000 0.000 0.000 1
Li1 0.000 0.000 0.609 1
Li2 0.500 0.500 0.407 1
Rh1 0.500 0.500 0.713 1
# E_form: 0.2209 eV/atom
# Fermi-level density of states: 2.33 states/eV/f.u.
# spin magnetization: 0.0 μB/f.u.


# 6
# HoEr2In9 (PBE, relaxed)
data_HoEr2In9
_space_group_name_H-M_alt 'P 4/m m m'
_space_group_IT_number 123
_space_group_name_Hall '-P 4 2'
_cell_length_a 4.623
_cell_length_b 4.623
_cell_length_c 13.869
_cell_angle_alpha 90.00
_cell_angle_beta 90.00
_cell_angle_gamma 90.00
loop_
_atom_site_label
_atom_site_fract_x
_atom_site_fract_y
_atom_site_fract_z
_atom_site_occupancy
Ho1 0.000 0.000 0.000 1
Er1 0.000 0.000 0.333 1
In1 0.000 0.500 0.167 1
In2 0.000 0.500 0.500 1
In3 0.500 0.500 0.000 1
In4 0.500 0.500 0.333 1
# E_form: -0.3894 eV/atom
# Fermi-level density of states: 4.58 states/eV/f.u.
# spin magnetization: 0.0 μB/f.u.


# 7
# KRb5F7 (PBE, relaxed)
data_KRb5F7
_space_group_name_H-M_alt 'P 1'
_space_group_IT_number 1
_cell_length_a 3.950
_cell_length_b 7.084
_cell_length_c 22.908
_cell_angle_alpha 90.02
_cell_angle_beta 90.00
_cell_angle_gamma 106.18
loop_
_space_group_symop_operation_xyz
'x,y,z'
loop_
_atom_site_label
_atom_site_fract_x
_atom_site_fract_y
_atom_site_fract_z
_atom_site_occupancy
K1 0.000 0.000 0.000 1
K2 0.436 0.870 0.500 1
Rb1 0.219 0.436 0.250 1
Rb2 0.219 0.436 0.750 1
Rb3 0.491 0.980 0.172 1
Rb4 0.491 0.980 0.828 1
Rb5 0.684 0.366 0.593 1
Rb6 0.684 0.367 0.407 1
Rb7 0.753 0.505 0.093 1
Rb8 0.753 0.505 0.907 1
Rb9 0.947 0.892 0.671 1
Rb10 0.947 0.893 0.329 1
F1 0.039 0.077 0.564 1
F2 0.040 0.078 0.436 1
F3 0.129 0.258 0.144 1
F4 0.129 0.258 0.856 1
F5 0.308 0.614 0.643 1
F6 0.308 0.615 0.357 1
F7 0.398 0.794 0.064 1
F8 0.398 0.794 0.936 1
F9 0.582 0.163 0.289 1
F10 0.582 0.163 0.711 1
F11 0.630 0.262 0.000 1
F12 0.807 0.610 0.500 1
F13 0.856 0.709 0.788 1
F14 0.856 0.710 0.212 1
# Fermi-level density of states: 25.09 states/eV/f.u.
# spin magnetization: 1.3 μB/f.u.
# formation energy without anion corrections: -2468 meV per atom


# 8
# Ba3ErTl12 (PBE, relaxed)
data_Ba3ErTl12
_space_group_name_H-M_alt 'P 4/m m m'
_space_group_IT_number 123
_space_group_name_Hall '-P 4 2'
_cell_length_a 5.058
_cell_length_b 5.058
_cell_length_c 20.225
_cell_angle_alpha 90.00
_cell_angle_beta 90.00
_cell_angle_gamma 90.00
loop_
_atom_site_label
_atom_site_fract_x
_atom_site_fract_y
_atom_site_fract_z
_atom_site_occupancy
Ba1 0.000 0.000 0.000 1
Ba2 0.000 0.000 0.265 1
Er1 0.000 0.000 0.500 1
Tl1 0.000 0.500 0.129 1
Tl2 0.000 0.500 0.391 1
Tl3 0.500 0.500 0.000 1
Tl4 0.500 0.500 0.238 1
Tl5 0.500 0.500 0.500 1
# E_form: -0.2331 eV/atom
# Fermi-level density of states: 10.42 states/eV/f.u.
# spin magnetization: 0.0 μB/f.u.